# Ti3ZnC PBE relaxed
data_Ti3ZnC
_chemical_formula_sum 'Ti12 Zn4 C4'
_space_group_name_H-M_alt 'P 1'
_space_group_IT_number 1
_cell_length_a 7.828
_cell_length_b 7.828
_cell_length_c 7.828
_cell_angle_alpha 60.00
_cell_angle_beta 60.00
_cell_angle_gamma 60.00
loop_
_space_group_symop_operation_xyz
'x,y,z'
loop_
_atom_site_label
_atom_site_fract_x
_atom_site_fract_y
_atom_site_fract_z
C1 0.125 0.125 0.625
C2 0.625 0.125 0.125
C3 0.125 0.125 0.125
C4 0.125 0.625 0.125
Ti1 0.442 0.058 0.058
Ti2 0.192 0.808 0.808
Ti3 0.808 0.192 0.192
Ti4 0.808 0.192 0.808
Ti5 0.058 0.442 0.058
Ti6 0.808 0.808 0.192
Ti7 0.192 0.808 0.192
Ti8 0.442 0.442 0.058
Ti9 0.058 0.058 0.442
Ti10 0.058 0.442 0.442
Ti11 0.192 0.192 0.808
Ti12 0.442 0.058 0.442
Zn1 0.125 0.625 0.625
Zn2 0.625 0.625 0.125
Zn3 0.625 0.125 0.625
Zn4 0.625 0.625 0.625
# Total DFT energy (no corrections) in eV per cell: -138.1
# Symmetry: No. 227


# TiZn2C PBE relaxed
data_TiZn2C
_chemical_formula_sum 'Ti2 Zn4 C2'
_space_group_name_H-M_alt 'P 1'
_space_group_IT_number 1
_cell_length_a 7.034
_cell_length_b 7.034
_cell_length_c 5.423
_cell_angle_alpha 49.57
_cell_angle_beta 49.57
_cell_angle_gamma 90.00
loop_
_space_group_symop_operation_xyz
'x,y,z'
loop_
_atom_site_label
_atom_site_fract_x
_atom_site_fract_y
_atom_site_fract_z
Ti1 0.750 0.250 0.500
Ti2 0.000 0.000 0.000
Zn1 0.540 0.125 0.250
Zn2 0.375 0.460 0.750
Zn3 0.210 0.625 0.250
Zn4 0.875 0.790 0.750
C1 0.500 0.500 0.000
C2 0.250 0.750 0.500
# Total DFT energy (no corrections) in eV per cell: -36.9
# Symmetry: No. 122


Let's list Fermi-level density of states in order: 16.5, 0.9 states/eV per cell.